Entry 1:
This record from the Alexandria database describes crystalline HoHfThZr at its relaxed geometry. The functional is PBE.

Results
- Electronic total energy: -7.42 eV per atom
- DOS at the Fermi energy: 1.519 states/eV per atom
- Mass density: 10.44 Mg/m³
- Energy of formation: 204 meV/atom

extended XYZ file:
```
4
Lattice="0.000 3.757 3.757 3.757 0.000 3.757 3.757 3.757 0.000" Properties=species:S:1:pos:R:3 pbc="T T T"
Ho 0.000 0.000 0.000
Hf 1.879 1.879 1.879
Th 3.757 3.757 3.757
Zr 5.636 5.636 5.636
```



Entry 2:
This record from the Alexandria database describes crystalline LiMgSnO4 at its relaxed geometry. The functional is PBE.

Results
- Uncorrected formation energy: -12.31 eV/f.u.
- Electronic total energy: -5.66 eV per atom
- DOS at the Fermi energy: 0.662 states/eV per atom
- Mass density: 4.23 Mg/m³

extended XYZ file:
```
14
Lattice="-2.949 3.189 4.462 2.949 -3.189 4.462 2.949 3.189 -4.462" Properties=species:S:1:pos:R:3 pbc="T T T"
Li 0.000 1.595 1.198
Li 2.949 1.595 3.264
Mg 1.474 1.595 -2.231
Mg 1.474 -1.595 2.231
Sn 2.949 0.000 0.000
Sn 0.000 0.000 4.462
O 2.949 -0.088 2.086
O 1.569 1.595 -0.114
O 4.328 1.595 -0.114
O 2.949 3.101 -2.086
O 0.000 0.088 6.548
O -1.380 1.595 4.576
O 1.380 1.595 4.576
O 0.000 3.277 2.376
```



Entry 3:
This record from the Alexandria database describes crystalline HfHW2 at its relaxed geometry. The functional is PBE.

Results
- Energy relative to the lowest polymorph listed for this composition: 1171 meV/atom
- Electronic total energy: -8.41 eV per atom
- DOS at the Fermi energy: 1.253 states/eV per atom
- Mass density: 14.65 Mg/m³

extended XYZ file:
```
4
Lattice="0.000 3.142 3.142 3.142 0.000 3.142 3.142 3.142 0.000" Properties=species:S:1:pos:R:3 pbc="T T T"
Hf 0.000 0.000 0.000
H 3.142 3.142 3.142
W 1.571 1.571 1.571
W 4.713 4.713 4.713
```



Entry 4:
This record from the Alexandria database describes crystalline K4Ac3SbS8 at its relaxed geometry. The functional is PBE.

Results
- Uncorrected formation energy: -25.32 eV/f.u.
- Electronic total energy: -4.95 eV per atom
- DOS at the Fermi energy: 0.000 states/eV per atom
- Mass density: 4.16 Mg/m³

extended XYZ file:
```
16
Lattice="4.348 2.510 7.416 -4.348 2.510 7.416 0.000 -5.020 7.416" Properties=species:S:1:pos:R:3 pbc="T T T"
K 0.000 0.000 0.000
K -2.174 -1.255 7.416
K -2.174 1.255 14.833
K 0.000 2.510 7.416
Ac -4.348 0.000 11.125
Ac -2.174 1.255 3.708
Ac 2.174 1.255 3.708
Sb 0.000 0.000 11.125
S 0.000 0.000 5.316
S -2.081 -1.201 12.678
S 0.000 -2.403 9.571
S -2.081 1.201 9.571
S 2.081 -1.201 12.678
S 0.000 2.403 12.678
S 2.081 1.201 9.571
S 0.000 0.000 16.933
```



Entry 5:
This record from the Alexandria database describes crystalline Tm4AgAu2 at its relaxed geometry. The functional is PBE.

Results
- Energy relative to the lowest polymorph listed for this composition: 0 meV/atom
- Electronic total energy: -4.46 eV per atom
- DOS at the Fermi energy: 0.733 states/eV per atom
- Mass density: 11.19 Mg/m³
- Energy of formation: -557 meV/atom

extended XYZ file:
```
7
Lattice="2.487 1.436 8.156 -2.487 1.436 8.156 0.000 -2.872 8.156" Properties=species:S:1:pos:R:3 pbc="T T T"
Tm 0.000 0.000 3.007
Tm 0.000 0.000 9.141
Tm 0.000 0.000 15.326
Tm 0.000 0.000 21.460
Ag 0.000 0.000 12.233
Au 0.000 0.000 6.200
Au 0.000 0.000 18.267
```